Entry from the Open Quantum Materials Database: a geometry-optimized Nb8Cd2C3N3 structure (PBE).

Geometry as POSCAR:
```
Nb8Cd2C3N3
1.0
-2.789 -0.876 1.243
2.556 -1.848 0.376
5.578 11.977 20.960
C Cd N Nb
3 2 3 8
direct
0.333 0.667 0.393
0.000 0.000 0.500
0.667 0.333 0.607
0.667 0.333 0.247
0.333 0.667 0.753
0.000 0.000 0.000
0.333 0.667 0.105
0.667 0.333 0.895
0.667 0.333 0.055
0.000 0.000 0.148
0.000 0.000 0.347
0.667 0.333 0.446
0.333 0.667 0.554
0.000 0.000 0.653
0.000 0.000 0.852
0.333 0.667 0.945
```

Values from the calculation:
The value obtained for the final energy is -9.008 eV/atom.